# 1
Density functional theory data (PBE-GGA) for a relaxed ZrOs4Rh crystal.

Calculated values
Energy relative to the elements: 0.141 eV/atom
Total DFT energy (no corrections): -10.00 eV per atom
Symmetry: F-43m (216)

Structure (extended XYZ):
```
6
Lattice="-0.071 -3.303 3.981 -3.470 0.593 3.791 -3.892 -3.372 0.494" Properties=species:S:1:pos:R:3 pbc="T T T"
Zr 0.000 0.000 0.000
Os -2.920 -4.086 3.281
Rh -1.859 -1.521 2.067
Os -4.601 -2.160 3.187
Os -4.636 -3.793 5.155
Os -2.711 -2.126 4.911
```

# 2
Density functional theory data (PBE-GGA) for a relaxed Zr2OsRh crystal.

Calculated values
Energy relative to the elements: -0.516 eV/atom
Total DFT energy (no corrections): -9.44 eV per atom
Symmetry: Amm2 (38)

Structure (extended XYZ):
```
4
Lattice="5.249 -0.013 -0.001 4.238 3.098 -0.001 0.001 0.000 4.521" Properties=species:S:1:pos:R:3 pbc="T T T"
Zr 6.959 2.263 2.825
Zr 0.156 0.051 0.565
Rh 2.689 0.874 0.565
Os 4.428 1.440 2.825
```